(1)
Material: MnIrPb4
Method: DFT, PBE
State: optimized geometry

Computed properties:
The total magnetic moment is 0.769 μB/atom. As for the energy of formation: 1.04 eV per atom.

Lattice parameters (Å, degrees): 8.7506 8.7506 8.7506 90.00 90.00 90.00
With the nearest neighbours (Å) after each atom.
Space group F-43m (No. 216)
Asymmetric unit:
Mn (0.0000, 0.0000, 0.0000) [4 per cell]  12 Pb 3.63, 4 Ir 3.79
Ir (0.2500, 0.2500, 0.2500) [4 per cell]  12 Pb 3.63, 4 Mn 3.79
Pb (0.1245, 0.1245, 0.6245) [16 per cell]  6 Pb 3.08-3.11

***

(2)
Material: Tb2DyTmBi5
Method: DFT, PBE
State: optimized geometry

Computed properties:
The total magnetic moment is 0.000 μB/atom. As for the energy of formation: -0.02 eV per atom.

Lattice parameters (Å, degrees): 5.3571 5.3571 11.8692 90.00 90.00 90.00
With the nearest neighbours (Å) after each atom.
Space group P4/mmm (No. 123)
Asymmetric unit:
Tb (0.0000, 0.0000, 0.2320) [2 per cell]  1 Bi 3.18
Dy (0.5000, 0.5000, 0.5000) [1 per cell]  2 Bi 2.93
Tm (0.5000, 0.5000, 0.0000) [1 per cell]  4 Bi 2.68
Bi (0.0000, 0.0000, 0.5000) [1 per cell]  2 Tb 3.18
Bi (0.0000, 0.5000, 0.0000) [2 per cell]  2 Tm 2.68
Bi (0.5000, 0.5000, 0.2533) [2 per cell]  1 Dy 2.93, 1 Tm 3.01

***

(3)
Material: K2ZrCuO4
Method: DFT, PBE
State: optimized geometry

Computed properties:
The total magnetic moment is 0.118 μB/atom. The calculation puts the uncorrected formation energy at -1.88 eV/atom.

Lattice parameters (Å, degrees): 6.0823 6.0823 7.2316 90.00 90.00 90.00
With the nearest neighbours (Å) after each atom.
Space group I-4 (No. 82)
Asymmetric unit:
K (0.0000, 0.0000, 0.0000) [2 per cell]  4 O 2.67
K (0.0000, 0.5000, 0.2500) [2 per cell]  8 O 2.96-2.97
Zr (0.0000, 0.5000, 0.7500) [2 per cell]  4 O 2.00
Cu (0.0000, 0.0000, 0.5000) [2 per cell]  4 O 1.98
O (0.1421, 0.7291, 0.5917) [8 per cell]  1 Cu 1.98, 1 Zr 2.00